Entry 1:
# TaRe3 (PBEsol, optimized geometry)
# * formation energy: -0.025 eV/atom
# * DOS at the Fermi energy: 0.68 states/eV/atom
# * energy: -105.30 eV per cell
data_TaRe3
_symmetry_space_group_name_H-M 'I m m m'
_symmetry_Int_Tables_number 71
_symmetry_space_group_name_Hall '-I 2 2'
_cell_length_a 3.122
_cell_length_b 4.430
_cell_length_c 8.860
_cell_angle_alpha 90.00
_cell_angle_beta 90.00
_cell_angle_gamma 90.00
loop_
_atom_site_label
_atom_site_fract_x
_atom_site_fract_y
_atom_site_fract_z
_atom_site_occupancy
Ta1 0.000 0.000 0.000 1
Re1 0.000 0.000 0.500 1
Re2 0.000 0.500 0.255 1

=====

Entry 2:
# Mn2OsCl (PBEsol, optimized geometry)
# * DOS at the Fermi energy: 0.66 states/eV/atom
# * formation energy from raw total energies: 0.4413 eV/atom
# * polymorph energy (0 for the lowest one): 12.5 kJ/mol of atoms
# * energy: -31.98 eV per cell
data_Mn2OsCl
_symmetry_space_group_name_H-M 'P 4 m m'
_symmetry_Int_Tables_number 99
_symmetry_space_group_name_Hall 'P 4 -2'
_cell_length_a 2.865
_cell_length_b 2.865
_cell_length_c 6.899
_cell_angle_alpha 90.00
_cell_angle_beta 90.00
_cell_angle_gamma 90.00
loop_
_atom_site_label
_atom_site_fract_x
_atom_site_fract_y
_atom_site_fract_z
_atom_site_occupancy
Mn1 0.000 0.000 0.000 1
Mn2 0.500 0.500 0.245 1
Os1 0.000 0.000 0.434 1
Cl1 0.500 0.500 0.759 1

=====

Entry 3:
# Be5C (PBEsol, optimized geometry)
# * formation energy: 0.437 eV/atom
# * DOS at the Fermi energy: 0.12 states/eV/atom
# * energy: -54.04 eV per cell
data_Be5C
_symmetry_space_group_name_H-M 'A m m 2'
_symmetry_Int_Tables_number 38
_symmetry_space_group_name_Hall 'A 2 -2'
_cell_length_a 2.925
_cell_length_b 2.864
_cell_length_c 11.238
_cell_angle_alpha 90.00
_cell_angle_beta 90.00
_cell_angle_gamma 90.00
loop_
_atom_site_label
_atom_site_fract_x
_atom_site_fract_y
_atom_site_fract_z
_atom_site_occupancy
Be1 0.000 0.000 0.000 1
Be2 0.000 0.000 0.297 1
Be3 0.000 0.000 0.655 1
Be4 0.500 0.000 0.143 1
Be5 0.500 0.000 0.457 1
C1 0.500 0.000 0.744 1

=====

Entry 4:
# La2MgCd (PBEsol, optimized geometry)
# * formation energy: -0.202 eV/atom
# * DOS at the Fermi energy: 1.04 states/eV/atom
# * energy: -57.65 eV per cell
data_La2MgCd
_symmetry_space_group_name_H-M 'F m -3 m'
_symmetry_Int_Tables_number 225
_symmetry_space_group_name_Hall '-F 4 2 3'
_cell_length_a 7.760
_cell_length_b 7.760
_cell_length_c 7.760
_cell_angle_alpha 90.00
_cell_angle_beta 90.00
_cell_angle_gamma 90.00
loop_
_atom_site_label
_atom_site_fract_x
_atom_site_fract_y
_atom_site_fract_z
_atom_site_occupancy
La1 0.250 0.250 0.250 1
Mg1 0.000 0.000 0.000 1
Cd1 0.000 0.000 0.500 1

=====

Entry 5:
# Zn2TeIr (PBEsol, optimized geometry)
# * DOS at the Fermi energy: 0.71 states/eV/atom
# * formation energy from raw total energies: 0.2002 eV/atom
# * energy: -15.71 eV per cell
data_Zn2TeIr
_symmetry_space_group_name_H-M 'P 4 m m'
_symmetry_Int_Tables_number 99
_symmetry_space_group_name_Hall 'P 4 -2'
_cell_length_a 3.304
_cell_length_b 3.304
_cell_length_c 6.233
_cell_angle_alpha 90.00
_cell_angle_beta 90.00
_cell_angle_gamma 90.00
loop_
_atom_site_label
_atom_site_fract_x
_atom_site_fract_y
_atom_site_fract_z
_atom_site_occupancy
Zn1 0.000 0.000 0.000 1
Zn2 0.500 0.500 0.220 1
Te1 0.500 0.500 0.689 1
Ir1 0.000 0.000 0.410 1

=====

Entry 6:
# MgTi2ZnO6 (PBEsol, optimized geometry)
# * DOS at the Fermi energy: 0.00 states/eV/atom
# * formation energy from raw total energies: -2.6987 eV/atom
# * energy: -235.28 eV per cell
data_MgTi2ZnO6
_symmetry_space_group_name_H-M 'R 3'
_symmetry_Int_Tables_number 146
_symmetry_space_group_name_Hall 'R 3'
_cell_length_a 5.0604
_cell_length_b 5.0604
_cell_length_c 13.8785
_cell_angle_alpha 90.00
_cell_angle_beta 90.00
_cell_angle_gamma 120.00
loop_
_atom_site_label
_atom_site_fract_x
_atom_site_fract_y
_atom_site_fract_z
_atom_site_occupancy
Mg1 0.0000 0.0000 0.0000 1
Ti1 0.0000 0.0000 0.4990 1
Ti2 0.0000 0.0000 0.7895 1
Zn1 0.0000 0.0000 0.2846 1
O1 0.0174 0.6476 0.0665 1
O2 0.0400 0.3511 0.5589 1

=====

Entry 7:
# CsKTeIr2 (PBEsol, optimized geometry)
# * DOS at the Fermi energy: 1.02 states/eV/atom
# * formation energy from raw total energies: 0.9242 eV/atom
# * energy: -20.63 eV per cell
data_CsKTeIr2
_symmetry_space_group_name_H-M 'P 4/m m m'
_symmetry_Int_Tables_number 123
_symmetry_space_group_name_Hall '-P 4 2'
_cell_length_a 4.965
_cell_length_b 4.965
_cell_length_c 6.420
_cell_angle_alpha 90.00
_cell_angle_beta 90.00
_cell_angle_gamma 90.00
loop_
_atom_site_label
_atom_site_fract_x
_atom_site_fract_y
_atom_site_fract_z
_atom_site_occupancy
Cs1 0.000 0.000 0.000 1
K1 0.500 0.500 0.000 1
Te1 0.000 0.000 0.500 1
Ir1 0.000 0.500 0.500 1

=====

Entry 8:
# CaH2CClO3 (PBEsol, optimized geometry)
# * DOS at the Fermi energy: 0.00 states/eV/atom
# * energy: -198.47 eV per cell
data_CaH2CClO3
_symmetry_space_group_name_H-M 'C 1 2/m 1'
_symmetry_Int_Tables_number 12
_symmetry_space_group_name_Hall '-C 2y'
_cell_length_a 9.774
_cell_length_b 7.254
_cell_length_c 6.919
_cell_angle_alpha 90.00
_cell_angle_beta 131.18
_cell_angle_gamma 90.00
loop_
_atom_site_label
_atom_site_fract_x
_atom_site_fract_y
_atom_site_fract_z
_atom_site_occupancy
Ca1 0.134 0.000 0.382 1
H1 0.094 0.279 0.033 1
C1 0.000 0.393 0.500 1
Cl1 0.239 0.000 0.880 1
O1 0.000 0.193 0.000 1
O2 0.112 0.315 0.493 1

=====

Q: Among the records above, which one has the lowest energy?
A: MgTi2ZnO6